No. 1
Crystalline TaP3Au at its relaxed geometry. Source: the Alexandria database, functional PBE-GGA.

abc: 4.6817 4.6817 4.6817
angles: 90.00 90.00 90.00
Closest atoms and distances in Å follow each position.
Positions (direct):
Ta: 0.0000 0.0000 0.0000  12 P 3.31
P: 0.0000 0.5000 0.5000  2 Au 2.34
P: 0.5000 0.0000 0.5000  2 Au 2.34
P: 0.5000 0.5000 0.0000  2 Au 2.34
Au: 0.5000 0.5000 0.5000  6 P 2.34

- Uncorrected energy: -4.85 eV/atom
- Magnetization: 0.00 μB/cell
- E_form: 1.42 eV per atom
- DOS(E_F): 0.97 states/eV/atom
- V: 20.52 A^3/atom

No. 2
Crystalline Ac2Sm2Te2Se3 at its relaxed geometry. Source: the Alexandria database, functional PBE-GGA.

abc: 10.5696 10.5696 10.5696
angles: 149.85 149.85 43.17
Closest atoms and distances in Å follow each position.
Positions (direct):
Ac: 0.1805 0.1805 0.0000  4 Se 3.07
Ac: 0.8195 0.8195 0.0000  4 Se 3.07
Sm: 0.0000 0.5000 0.5000  2 Se 2.75
Sm: 0.5000 0.0000 0.5000  2 Se 2.75
Te: 0.4009 0.4009 0.0000  4 Sm 3.37
Te: 0.5991 0.5991 0.0000  4 Sm 3.37
Se: 0.0000 0.0000 0.0000  4 Sm 2.75
Se: 0.2500 0.7500 0.5000  4 Ac 3.07
Se: 0.7500 0.2500 0.5000  4 Ac 3.07

- Uncorrected energy: -5.34 eV/atom
- Magnetization: 0.02 μB/cell
- Formation energy without anion corrections: -1521 meV per atom
- DOS(E_F): 0.67 states/eV/atom
- V: 33.02 A^3/atom

No. 3
Crystalline CeHoPb at its relaxed geometry. Source: the Alexandria database, functional PBE-GGA.

abc: 4.1441 4.1441 10.1378
angles: 90.00 90.00 90.00
Closest atoms and distances in Å follow each position.
Positions (direct):
Ce: 0.0000 0.0000 0.0000  5 Ho 3.15-3.50, 5 Pb 3.36-3.43
Ce: 0.5000 0.5000 0.5000  5 Ho 3.15-3.50, 5 Pb 3.36-3.43
Ho: 0.0000 0.0000 0.3110  5 Ce 3.15-3.50, 4 Pb 3.30
Ho: 0.5000 0.5000 0.8110  5 Ce 3.15-3.50, 4 Pb 3.30
Pb: 0.0000 0.0000 0.6617  5 Ho 3.30-3.55, 5 Ce 3.36-3.43
Pb: 0.5000 0.5000 0.1617  5 Ho 3.30-3.55, 5 Ce 3.36-3.43

- Uncorrected energy: -4.94 eV/atom
- Magnetization: 2.18 μB/cell
- E_form: -0.20 eV per atom
- DOS(E_F): 2.57 states/eV/atom
- V: 29.02 A^3/atom

No. 4
Crystalline Sr4Li5Zn2 at its relaxed geometry. Source: the Alexandria database, functional PBE-GGA.

abc: 7.6820 4.9872 8.9908
angles: 90.00 90.18 90.00
Closest atoms and distances in Å follow each position.
Positions (direct):
Sr: 0.2295 0.0000 0.3570  2 Zn 3.43, 8 Li 3.49-3.71
Sr: 0.2364 0.0000 0.8921  4 Zn 3.42-3.55, 4 Li 3.49-3.50
Sr: 0.7636 0.0000 0.1079  4 Zn 3.42-3.55, 4 Li 3.49-3.50
Sr: 0.7705 0.0000 0.6430  2 Zn 3.43, 8 Li 3.49-3.71
Li: 0.1283 0.5000 0.6341  1 Zn 2.78, 2 Li 3.10-3.11
Li: 0.4524 0.5000 0.1595  1 Zn 2.78, 2 Li 2.96-3.08
Li: 0.5000 0.5000 0.5000  4 Li 3.08-3.10
Li: 0.5476 0.5000 0.8405  1 Zn 2.78, 2 Li 2.96-3.08
Li: 0.8717 0.5000 0.3659  1 Zn 2.78, 2 Li 3.10-3.11
Zn: 0.0930 0.5000 0.1216  1 Zn 2.61, 2 Li 2.78
Zn: 0.9070 0.5000 0.8784  1 Zn 2.61, 2 Li 2.78

- Uncorrected energy: -1.75 eV/atom
- Magnetization: 0.00 μB/cell
- E_form: -0.03 eV per atom
- DOS(E_F): 0.64 states/eV/atom
- V: 31.31 A^3/atom

No. 5
Crystalline CsGa2H6 at its relaxed geometry. Source: the Alexandria database, functional PBE-GGA.

abc: 7.6602 7.6602 8.8207
angles: 124.59 124.59 56.62
Closest atoms and distances in Å follow each position.
Positions (direct):
Cs: 0.1314 0.8686 0.7500  12 H 3.01-3.37
Cs: 0.8686 0.1314 0.2500  12 H 3.01-3.37
Ga: 0.1569 0.4364 0.1610  3 H 1.58
Ga: 0.4364 0.1569 0.6610  3 H 1.58
Ga: 0.5636 0.8431 0.3390  3 H 1.58
Ga: 0.8431 0.5636 0.8390  3 H 1.58
H: 0.0351 0.3082 0.1417  1 Ga 1.58
H: 0.1730 0.6660 0.3416  1 Ga 1.58
H: 0.2767 0.3630 0.5902  1 Ga 1.58
H: 0.3082 0.0351 0.6417  1 Ga 1.58
H: 0.3340 0.8270 0.1584  1 Ga 1.58
H: 0.3630 0.2767 0.0902  1 Ga 1.58
H: 0.6370 0.7233 0.9098  1 Ga 1.58
H: 0.6660 0.1730 0.8416  1 Ga 1.58
H: 0.6918 0.9649 0.3583  1 Ga 1.58
H: 0.7233 0.6370 0.4098  1 Ga 1.58
H: 0.8270 0.3340 0.6584  1 Ga 1.58
H: 0.9649 0.6918 0.8583  1 Ga 1.58

- Uncorrected energy: -2.98 eV/atom
- Magnetization: 2.00 μB/cell
- V: 18.35 A^3/atom

No. 6
Crystalline BaScN3 at its relaxed geometry. Source: the Alexandria database, functional PBE-GGA.

abc: 4.3010 4.3010 4.3010
angles: 90.00 90.00 90.00
Closest atoms and distances in Å follow each position.
Positions (direct):
Ba: 0.0000 0.0000 0.0000  12 N 3.04
Sc: 0.5000 0.5000 0.5000  6 N 2.15
N: 0.0000 0.5000 0.5000  2 Sc 2.15
N: 0.5000 0.0000 0.5000  2 Sc 2.15
N: 0.5000 0.5000 0.0000  2 Sc 2.15

- Uncorrected energy: -6.63 eV/atom
- Magnetization: 3.65 μB/cell
- Formation energy without anion corrections: 16 meV per atom
- DOS(E_F): 0.57 states/eV/atom
- V: 15.91 A^3/atom

No. 7
Crystalline HoMnAgPd at its relaxed geometry. Source: the Alexandria database, functional PBE-GGA.

abc: 6.7467 6.7467 6.7467
angles: 90.00 90.00 90.00
Closest atoms and distances in Å follow each position.
Positions (direct):
Ho: 0.0000 0.0000 0.0000  4 Ag 2.92, 4 Pd 2.92
Ho: 0.0000 0.5000 0.5000  4 Ag 2.92, 4 Pd 2.92
Ho: 0.5000 0.0000 0.5000  4 Ag 2.92, 4 Pd 2.92
Ho: 0.5000 0.5000 0.0000  4 Ag 2.92, 4 Pd 2.92
Mn: 0.0000 0.0000 0.5000  4 Pd 2.92, 4 Ag 2.92
Mn: 0.0000 0.5000 0.0000  4 Pd 2.92, 4 Ag 2.92
Mn: 0.5000 0.0000 0.0000  4 Pd 2.92, 4 Ag 2.92
Mn: 0.5000 0.5000 0.5000  4 Pd 2.92, 4 Ag 2.92
Ag: 0.2500 0.2500 0.7500  4 Mn 2.92, 4 Ho 2.92
Ag: 0.2500 0.7500 0.2500  4 Mn 2.92, 4 Ho 2.92
Ag: 0.7500 0.2500 0.2500  4 Mn 2.92, 4 Ho 2.92
Ag: 0.7500 0.7500 0.7500  4 Mn 2.92, 4 Ho 2.92
Pd: 0.2500 0.2500 0.2500  4 Mn 2.92, 4 Ho 2.92
Pd: 0.2500 0.7500 0.7500  4 Ho 2.92, 4 Mn 2.92
Pd: 0.7500 0.2500 0.7500  4 Ho 2.92, 4 Mn 2.92
Pd: 0.7500 0.7500 0.2500  4 Ho 2.92, 4 Mn 2.92

- Uncorrected energy: -5.71 eV/atom
- Magnetization: 17.04 μB/cell
- E_form: -0.26 eV per atom
- DOS(E_F): 0.58 states/eV/atom
- V: 19.19 A^3/atom

No. 8
Crystalline K2AcLaTe4 at its relaxed geometry. Source: the Alexandria database, functional PBE-GGA.

abc: 8.2851 4.7813 8.6963
angles: 90.00 108.48 90.00
Closest atoms and distances in Å follow each position.
Positions (direct):
K: 0.0000 0.0000 0.0000  6 Te 3.63-3.64
K: 0.5000 0.5000 0.0000  6 Te 3.57
Ac: 0.0000 0.5000 0.5000  6 Te 3.33-3.34
La: 0.5000 0.0000 0.5000  6 Te 3.27
Te: 0.2471 0.0000 0.7216  1 La 3.27, 2 Ac 3.33, 3 K 3.57-3.63
Te: 0.2675 0.5000 0.2827  2 La 3.27, 1 Ac 3.34, 3 K 3.57-3.64
Te: 0.7325 0.5000 0.7173  2 La 3.27, 1 Ac 3.34, 3 K 3.57-3.64
Te: 0.7529 0.0000 0.2784  1 La 3.27, 2 Ac 3.33, 3 K 3.57-3.63

- Uncorrected energy: -4.47 eV/atom
- Magnetization: 0.00 μB/cell
- Formation energy without anion corrections: -1496 meV per atom
- DOS(E_F): 0.00 states/eV/atom
- V: 40.84 A^3/atom